1.
An optimized crystal structure of CaPm2SmS4. Source: Alexandria via LeMat-Bulk, functional GGA-PBE.

The structure in CIF format:
```
data_CaPm2SmS4
_cell_length_a 4.003
_cell_length_b 6.975
_cell_length_c 6.984
_cell_angle_alpha 109.13
_cell_angle_beta 90.00
_cell_angle_gamma 90.00
_space_group_name_H-M_alt 'P 1'
_space_group_IT_number 1
_space_group_name_Hall 'P 1'
loop_
_atom_site_label
_atom_site_fract_x
_atom_site_fract_y
_atom_site_fract_z
Pm1 0.000 0.500 0.500
Pm2 0.500 0.000 0.500
S1 0.000 0.249 0.754
S2 0.500 0.753 0.755
S3 0.000 0.751 0.246
S4 0.500 0.247 0.245
Sm1 0.500 0.500 0.000
Ca1 0.000 0.000 0.000
```

## Properties
Space group ... P2/m (10)
Volume ... 23.03 Å³/atom
Energy relative to the elements, uncorrected ... -2.045 eV/atom
VASP energy ... -6.14 eV per atom

***

2.
An optimized crystal structure of NdPa5Sb6. Source: Alexandria via LeMat-Bulk, functional GGA-PBE.

The structure in CIF format:
```
data_NdPa5Sb6
_cell_length_a 7.596
_cell_length_b 7.587
_cell_length_c 7.591
_cell_angle_alpha 60.02
_cell_angle_beta 80.41
_cell_angle_gamma 70.53
_space_group_name_H-M_alt 'P 1'
_space_group_IT_number 1
_space_group_name_Hall 'P 1'
loop_
_atom_site_label
_atom_site_fract_x
_atom_site_fract_y
_atom_site_fract_z
Pa1 0.000 0.668 0.665
Pa2 0.500 0.163 0.674
Pa3 0.500 0.500 0.000
Pa4 0.000 0.332 0.335
Pa5 0.500 0.837 0.326
Sb1 0.751 0.745 0.000
Sb2 0.249 0.255 0.000
Sb3 0.254 0.915 0.662
Sb4 0.254 0.577 0.338
Sb5 0.746 0.085 0.338
Sb6 0.746 0.423 0.662
Nd1 0.000 0.000 0.000
```

## Properties
Space group ... C2/m (12)
Volume ... 29.77 Å³/atom
Energy relative to the elements, uncorrected ... -0.553 eV/atom
VASP energy ... -6.97 eV per atom

***

3.
An optimized crystal structure of ReTe2WN. Source: Alexandria via LeMat-Bulk, functional GGA-PBE.

The structure in CIF format:
```
data_ReTe2WN
_cell_length_a 5.393
_cell_length_b 5.393
_cell_length_c 3.765
_cell_angle_alpha 90.00
_cell_angle_beta 90.00
_cell_angle_gamma 90.00
_space_group_name_H-M_alt 'P 1'
_space_group_IT_number 1
_space_group_name_Hall 'P 1'
loop_
_atom_site_label
_atom_site_fract_x
_atom_site_fract_y
_atom_site_fract_z
Te1 0.000 0.500 0.000
Te2 0.500 0.000 0.000
Re1 0.500 0.500 0.500
N1 0.000 0.000 0.500
W1 0.000 0.000 0.000
```

## Properties
Space group ... P4/mmm (123)
Volume ... 21.91 Å³/atom
Energy relative to the elements, uncorrected ... 1.160 eV/atom
Energy above the most stable polymorph in this dataset ... 88.1 meV/atom
VASP energy ... -6.84 eV per atom